Pr3Dy2Er6Zr (PBE, optimized geometry); calculated volume = 31.114 A^3/atom; E_form = 47 meV/atom; density of states at the Fermi level = 15.42 states/eV per cell; space-group type = C2/m; crystal system = monoclinic; total energy = -4.908 eV/atom
1.0
3.0672 -5.3080 0.0000
3.0672 5.3080 0.0000
-2.0396 0.0000 11.4667
Pr Dy Er Zr
3 2 6 1
direct
0.0000 0.0000 0.0000
0.3342 0.6658 0.0000
0.6658 0.3342 0.0000
0.1667 0.8333 0.5000
0.8333 0.1667 0.5000
0.0940 0.4202 0.2592
0.2538 0.2538 0.7405
0.4202 0.0940 0.2592
0.5798 0.9060 0.7408
0.7462 0.7462 0.2595
0.9060 0.5798 0.7408
0.5000 0.5000 0.5000